Entry 1:
DyY7In4 | PBE | optimized geometry

Unit cell a=5.652 b=9.292 c=7.782 alpha=75.73 beta=68.71 gamma=72.30
Atoms (fractional coordinates):
In 0.561 0.240 0.638
In 0.318 0.334 0.030
In 0.682 0.666 0.970
In 0.439 0.760 0.362
Y 0.937 0.393 0.733
Y 0.063 0.607 0.267
Y 0.788 0.878 0.545
Y 0.500 0.000 0.000
Y 0.212 0.122 0.455
Y 0.717 0.343 0.224
Y 0.283 0.657 0.776
Dy 0.000 0.000 0.000

Values from the calculation:
- ΔH_f (0 K) (meV/atom) = -126.7
- D(E_F) (states/eV/cell) = 13.64

Entry 2:
RbLi2AsIr | PBE | optimized geometry

Unit cell a=4.710 b=5.049 c=4.710 alpha=90.00 beta=90.00 gamma=90.00
Atoms (fractional coordinates):
Li 0.500 0.000 0.000
Li 0.000 0.000 0.500
Rb 0.000 0.000 0.000
Ir 0.000 0.500 0.000
As 0.500 0.500 0.500

Values from the calculation:
- ΔH_f (0 K) (meV/atom) = 1345.2
- D(E_F) (states/eV/cell) = 2.26